{
  "formula": "K2Sb9PbSe15",
  "functional": "GGA-PBEsol",
  "state": "optimized geometry",
  "sg": "P2_1/m, No. 11",
  "raw_formation_energy_mev_per_atom": -393.7,
  "magmom_total_mub_per_cell": 0.0,
  "energy_ev_per_cell": -231.3,
  "lattice": [[4.141, 0.000, 0.000], [0.000, 17.051, -0.030], [0.000, -3.514, 21.104]],
  "species": ["Se", "Se", "Se", "Se", "Se", "Se", "Se", "Se", "Se", "Se", "Se", "Se", "Se", "Se", "Se", "Se", "Se", "Se", "Se", "Se", "Se", "Se", "Se", "Se", "Se", "Se", "Se", "Se", "Se", "Se", "Sb", "Sb", "Sb", "Sb", "Sb", "Sb", "Sb", "Sb", "Sb", "Sb", "Sb", "Sb", "Sb", "Sb", "Sb", "Sb", "Sb", "Sb", "K", "K", "K", "K", "Pb", "Pb"],
  "frac_coords": [[0.750, 0.349, 0.350], [0.750, 0.742, 0.116], [0.750, 0.033, 0.851], [0.750, 0.061, 0.312], [0.750, 0.572, 0.494], [0.250, 0.683, 0.959], [0.250, 0.539, 0.088], [0.250, 0.182, 0.456], [0.250, 0.967, 0.149], [0.750, 0.568, 0.260], [0.250, 0.823, 0.826], [0.250, 0.699, 0.371], [0.750, 0.894, 0.987], [0.250, 0.428, 0.506], [0.250, 0.432, 0.740], [0.750, 0.301, 0.629], [0.750, 0.177, 0.174], [0.250, 0.106, 0.013], [0.750, 0.317, 0.041], [0.250, 0.939, 0.417], [0.750, 0.824, 0.272], [0.250, 0.380, 0.209], [0.250, 0.176, 0.728], [0.750, 0.818, 0.544], [0.750, 0.461, 0.912], [0.250, 0.258, 0.884], [0.750, 0.061, 0.583], [0.250, 0.939, 0.688], [0.250, 0.651, 0.650], [0.750, 0.620, 0.791], [0.250, 0.927, 0.562], [0.250, 0.820, 0.057], [0.250, 0.542, 0.841], [0.250, 0.944, 0.291], [0.250, 0.193, 0.605], [0.750, 0.609, 0.027], [0.250, 0.248, 0.113], [0.250, 0.964, 0.911], [0.750, 0.752, 0.887], [0.750, 0.807, 0.395], [0.750, 0.180, 0.943], [0.750, 0.073, 0.438], [0.750, 0.036, 0.089], [0.750, 0.458, 0.159], [0.250, 0.391, 0.973], [0.750, 0.056, 0.709], [0.750, 0.330, 0.465], [0.250, 0.670, 0.535], [0.750, 0.503, 0.631], [0.250, 0.213, 0.302], [0.750, 0.787, 0.698], [0.250, 0.497, 0.369], [0.250, 0.677, 0.231], [0.750, 0.323, 0.769]]
}